The following is a DFT calculation (PBE) of an optimized crystal structure of SrGdPdPb.

Computed properties:
As for the space-group type: F-43m (216). The value obtained for the density of states at the Fermi level is 0.90 states/eV/atom. For the calculated total energy, the calculation gives -26.71 eV/cell.

a = 5.386 Å, b = 5.386 Å, c = 5.386 Å
α = 60.00°, β = 60.00°, γ = 60.00°
Last column: magnetic moment on the atom in μB.
Fractional positions:
1 Pb 0.500 0.500 0.500  0.00
2 Sr 0.250 0.250 0.250  0.00
3 Gd 0.750 0.750 0.750  7.02
4 Pd 0.000 0.000 0.000  0.01

---

The following is a DFT calculation (PBE) of an optimized crystal structure of NdZnAg.

Computed properties:
As for the space-group type: P-6m2 (187). The value obtained for the density of states at the Fermi level is 0.51 states/eV/atom. For the calculated total energy, the calculation gives -9.84 eV/cell.

a = 3.491 Å, b = 4.735 Å, c = 4.735 Å
α = 120.00°, β = 90.00°, γ = 90.00°
Fractional positions:
1 Zn 0.166 0.333 0.667
2 Nd 0.667 0.667 0.333
3 Ag 0.167 0.000 0.000